No. 1
## Ca3Zn8Ni3 (PBE)

Data for crystalline Ca3Zn8Ni3 at its relaxed geometry.

Cell: 4.2252 8.0752 8.0752 Å, 71.15 74.83 74.83°
Element x y z (fractional)
Ca  0.5000  0.5000  0.5000
Ca  0.8154  0.1846  0.1846
Ca  0.1846  0.8154  0.8154
Zn  0.6136  0.1001  0.6726
Zn  0.3864  0.8999  0.3274
Zn  0.6136  0.6726  0.1001
Zn  0.3864  0.3274  0.8999
Zn  0.8354  0.8102  0.5191
Zn  0.1646  0.1898  0.4809
Zn  0.8354  0.5191  0.8102
Zn  0.1646  0.4809  0.1898
Ni  0.5000  0.0000  0.0000
Ni  0.0000  0.8056  0.1944
Ni  0.0000  0.1944  0.8056

Computed properties:
DFT formation energy = -245 meV/atom

No. 2
## Nd3MgIn (PBE)

Data for crystalline Nd3MgIn at its relaxed geometry.

Cell: 5.0487 6.9938 9.5807 Å, 90.00 90.00 90.00°
Element x y z (fractional)
Nd  0.7500  0.7500  0.0694
Nd  0.2500  0.2500  0.9306
Nd  0.7500  0.9934  0.7241
Nd  0.7500  0.5066  0.7241
Nd  0.2500  0.0066  0.2759
Nd  0.2500  0.4934  0.2759
Mg  0.7500  0.7500  0.4191
Mg  0.2500  0.2500  0.5809
In  0.7500  0.2500  0.1339
In  0.2500  0.7500  0.8661

Computed properties:
DFT formation energy = -33 meV/atom
Polymorph energy (0 for the lowest one) = 200 meV/atom

No. 3
## Cd2Bi5Pb5 (PBE)

Data for crystalline Cd2Bi5Pb5 at its relaxed geometry.

Cell: 5.5082 9.1486 8.6079 Å, 67.39 70.42 73.01°
Element x y z (fractional)
Cd  0.8402  0.5192  0.8002
Cd  0.1598  0.4808  0.1998
Bi  0.9337  0.7457  0.3954
Bi  0.2435  0.7121  0.8042
Bi  0.7565  0.2879  0.1958
Bi  0.0663  0.2543  0.6046
Bi  0.0000  0.0000  0.0000
Pb  0.5000  0.5000  0.5000
Pb  0.4078  0.2484  0.9421
Pb  0.3207  0.9895  0.3761
Pb  0.6793  0.0105  0.6239
Pb  0.5922  0.7516  0.0579

Computed properties:
DFT formation energy = 40 meV/atom

No. 4
## Mn3FeRe (PBE)

Data for crystalline Mn3FeRe at its relaxed geometry.

Cell: 4.1412 4.1412 4.1412 Å, 90.00 90.00 90.00°
Site moments in Bohr magnetons follow the coordinates.
Element x y z (fractional)
Re  0.5000  0.5000  0.5000  -0.94
Mn  0.0000  0.5000  0.0000  2.14
Mn  0.0000  0.0000  0.5000  2.00
Mn  0.5000  0.0000  0.0000  1.90
Fe  0.0000  0.0000  0.0000  -0.45

Computed properties:
DFT formation energy = 1334 meV/atom
Polymorph energy (0 for the lowest one) = 0 meV/atom

No. 5
## Na2Sm2NpS6 (PBE)

Data for crystalline Na2Sm2NpS6 at its relaxed geometry.

Cell: 7.0200 7.0200 7.1017 Å, 99.47 99.47 119.64°
Site moments in Bohr magnetons follow the coordinates.
Element x y z (fractional)
Na  0.8313  0.1687  0.0000  0.00
Na  0.1687  0.8313  0.0000  0.00
Sm  0.3345  0.6655  0.5000  0.01
Sm  0.6655  0.3345  0.5000  0.01
Np  0.0000  0.0000  0.5000  3.20
S  0.7566  0.7566  0.7218  -0.04
S  0.0690  0.3961  0.7220  -0.03
S  0.2434  0.2434  0.2782  -0.04
S  0.3961  0.0690  0.7220  -0.03
S  0.9310  0.6039  0.2780  -0.03
S  0.6039  0.9310  0.2780  -0.03

Computed properties:
Formation energy from raw total energies = -1.64 eV per atom

No. 6
## HoPaGaMo (PBE)

Data for crystalline HoPaGaMo at its relaxed geometry.

Cell: 4.9743 4.9743 4.9743 Å, 60.00 60.00 60.00°
Element x y z (fractional)
Mo  0.7500  0.7500  0.7500
Pa  0.0000  0.0000  0.0000
Ho  0.5000  0.5000  0.5000
Ga  0.2500  0.2500  0.2500

Computed properties:
DFT formation energy = -5 meV/atom

No. 7
## CeYThTl (PBE)

Data for crystalline CeYThTl at its relaxed geometry.

Cell: 5.4777 5.4777 5.4777 Å, 60.00 60.00 60.00°
Site moments in Bohr magnetons follow the coordinates.
Element x y z (fractional)
Y  0.2500  0.2500  0.2500  0.03
Tl  0.0000  0.0000  0.0000  -0.01
Ce  0.5000  0.5000  0.5000  0.39
Th  0.7500  0.7500  0.7500  0.04

Computed properties:
DFT formation energy = 66 meV/atom

No. 8
## KZn2Ag4 (PBE)

Data for crystalline KZn2Ag4 at its relaxed geometry.

Cell: 4.3427 8.1931 8.1931 Å, 90.00 90.00 90.00°
Element x y z (fractional)
K  0.5000  0.0000  0.0000
K  0.0000  0.5000  0.5000
Zn  0.0000  0.2237  0.7763
Zn  0.0000  0.7763  0.2237
Zn  0.5000  0.7237  0.7237
Zn  0.5000  0.2763  0.2763
Ag  0.0000  0.0933  0.3482
Ag  0.0000  0.9067  0.6518
Ag  0.5000  0.1518  0.5933
Ag  0.5000  0.8482  0.4067
Ag  0.5000  0.4067  0.8482
Ag  0.5000  0.5933  0.1518
Ag  0.0000  0.3482  0.0933
Ag  0.0000  0.6518  0.9067

Computed properties:
DFT formation energy = -3 meV/atom

No. 9
## Li2GdZn (PBE)

Data for crystalline Li2GdZn at its relaxed geometry.

Cell: 4.7892 4.7892 4.7892 Å, 60.00 60.00 60.00°
Site moments in Bohr magnetons follow the coordinates.
Element x y z (fractional)
Zn  0.5000  0.5000  0.5000  0.02
Gd  0.0000  0.0000  0.0000  7.26
Li  0.2500  0.2500  0.2500  0.04
Li  0.7500  0.7500  0.7500  0.04

Computed properties:
DFT formation energy = -3 meV/atom
Polymorph energy (0 for the lowest one) = 0 meV/atom

No. 10
## NaZnB3 (PBE)

Data for crystalline NaZnB3 at its relaxed geometry.

Cell: 4.4012 4.4012 4.4012 Å, 90.00 90.00 90.00°
Element x y z (fractional)
Na  0.0000  0.0000  0.0000
Zn  0.5000  0.5000  0.5000
B  0.0000  0.5000  0.0000
B  0.0000  0.0000  0.5000
B  0.5000  0.0000  0.0000

Computed properties:
DFT formation energy = 2773 meV/atom
Polymorph energy (0 for the lowest one) = 1067 meV/atom

No. 11
## Cs3Ce3AgTe8 (PBE)

Data for crystalline Cs3Ce3AgTe8 at its relaxed geometry.

Cell: 8.8534 9.2585 10.6047 Å, 117.74 90.00 118.56°
Site moments in Bohr magnetons follow the coordinates.
Element x y z (fractional)
Cs  0.0000  0.0000  0.0000  0.00
Cs  0.0000  0.5000  0.0000  0.00
Cs  0.5000  0.5000  0.0000  0.00
Ce  0.5000  0.0000  0.5000  0.57
Ce  0.5000  0.5000  0.5000  0.49
Ce  0.0000  0.5000  0.5000  0.49
Ag  0.0000  0.0000  0.5000  0.03
Te  0.2701  0.5402  0.3055  -0.02
Te  0.7299  0.4598  0.6945  -0.02
Te  0.7187  0.4374  0.2774  -0.02
Te  0.2813  0.5626  0.7226  -0.02
Te  0.7920  0.0420  0.3274  0.00
Te  0.2080  0.9580  0.6726  0.00
Te  0.2500  0.0420  0.3274  0.00
Te  0.7500  0.9580  0.6726  0.00

Computed properties:
Formation energy from raw total energies = -1.05 eV per atom

No. 12
## ZnRe2Ag (PBE)

Data for crystalline ZnRe2Ag at its relaxed geometry.

Cell: 2.7159 4.3561 5.2683 Å, 90.00 90.00 90.00°
Element x y z (fractional)
Ag  0.5000  0.5000  0.7500
Re  0.0000  0.0000  0.0224
Re  0.0000  0.0000  0.4776
Zn  0.5000  0.5000  0.2500

Computed properties:
DFT formation energy = 579 meV/atom

No. 13
## CaTeAuI2 (PBE)

Data for crystalline CaTeAuI2 at its relaxed geometry.

Cell: 5.5624 5.5624 5.7398 Å, 90.00 90.00 90.00°
Element x y z (fractional)
I  0.0000  0.5000  0.0000
I  0.5000  0.0000  0.0000
Ca  0.5000  0.5000  0.5000
Te  0.0000  0.0000  0.5000
Au  0.0000  0.0000  0.0000

Computed properties:
Formation energy from raw total energies = -0.37 eV per atom
Polymorph energy (0 for the lowest one) = 0 meV/atom

Number 1: M_tot 0.00 Bohr magnetons per cell, V 246.9 Å³/cell, final energy -2.641 eV per atom. Number 2: M_tot 0.00 Bohr magnetons per cell, V 338.3 Å³/cell, final energy -3.761 eV per atom. Number 3: M_tot 0.00 Bohr magnetons per cell, V 370.6 Å³/cell, final energy -3.275 eV per atom. Number 4: M_tot 4.64 Bohr magnetons per cell, V 71.0 Å³/cell, final energy -8.350 eV per atom. Number 5: M_tot 3.00 Bohr magnetons per cell, V 287.4 Å³/cell, final energy -6.167 eV per atom. Number 6: M_tot 0.00 Bohr magnetons per cell, V 87.0 Å³/cell, final energy -6.988 eV per atom. Number 7: M_tot 0.54 Bohr magnetons per cell, V 116.2 Å³/cell, final energy -5.480 eV per atom. Number 8: M_tot 0.00 Bohr magnetons per cell, V 291.5 Å³/cell, final energy -2.153 eV per atom. Number 9: M_tot 7.83 Bohr magnetons per cell, V 77.7 Å³/cell, final energy -4.798 eV per atom. Number 10: M_tot 0.00 Bohr magnetons per cell, V 85.3 Å³/cell, final energy -1.752 eV per atom. Number 11: M_tot 1.51 Bohr magnetons per cell, V 647.4 Å³/cell, final energy -4.272 eV per atom. Number 12: M_tot 0.00 Bohr magnetons per cell, V 62.3 Å³/cell, final energy -6.677 eV per atom. Number 13: M_tot 0.00 Bohr magnetons per cell, V 177.6 Å³/cell, final energy -2.677 eV per atom.